This record from the Alexandria database describes K3CaV2F9 after structural relaxation. The functional is GGA+U.

a = 6.075 Å, b = 6.075 Å, c = 7.477 Å
α = 90.00°, β = 90.00°, γ = 120.00°
Sites, in units of the cell vectors:
K (0.000, 0.000, 0.000)
K (0.333, 0.667, 0.679)
K (0.667, 0.333, 0.321)
Ca (0.000, 0.000, 0.500)
V (0.333, 0.667, 0.161)
V (0.667, 0.333, 0.839)
F (0.000, 0.500, 0.000)
F (0.171, 0.342, 0.324)
F (0.171, 0.829, 0.324)
F (0.342, 0.171, 0.676)
F (0.500, 0.000, 0.000)
F (0.500, 0.500, 0.000)
F (0.658, 0.829, 0.324)
F (0.829, 0.171, 0.676)
F (0.829, 0.658, 0.676)

Its symmetry is No. 164. The calculation puts the electronic total energy at -5.4666 eV/atom.